The following is a PBE calculation of crystalline Ca3AcNi8 at its relaxed geometry, from Alexandria via LeMat-Bulk.

Its energy of formation is -186 meV per atom. Its spin magnetization is 0.0 μB/f.u. The total energy comes out at -58.6 eV per formula unit.

The space group is R3m (No. 160, hexagonal axes) and the conventional cell measures 5.1500, 5.1500 and 25.3053 Å, with angles of 90.00, 90.00 and 120.00 degrees. Symmetry generates all atoms from Ca at (0.0000, 0.0000, 0.0000), Ca at (0.0000, 0.0000, 0.1217), Ca at (0.0000, 0.0000, 0.4913), Ac at (0.0000, 0.0000, 0.6189), Ni at (0.0000, 0.0000, 0.3089), Ni at (0.0000, 0.0000, 0.8070), Ni at (0.0003, 0.5001, 0.0587) and Ni at (0.0020, 0.5010, 0.5563).


The following is a PBE calculation of crystalline CaAcNi at its relaxed geometry, from Alexandria via LeMat-Bulk.

Its energy of formation is -87 meV per atom. Its spin magnetization is 0.0 μB/f.u. The total energy comes out at -12.2 eV per formula unit.

The space group is P3m1 (No. 156) and the conventional cell measures 4.1643, 4.1643 and 6.7261 Å, with angles of 90.00, 90.00 and 120.00 degrees. Symmetry generates all atoms from Ca at (0.0000, 0.0000, 0.0000), Ac at (0.6667, 0.3333, 0.5316) and Ni at (0.3333, 0.6667, 0.7616).


The following is a PBE calculation of crystalline Ca2AcNi6 at its relaxed geometry, from Alexandria via LeMat-Bulk.

Its energy of formation is 83 meV per atom. Its spin magnetization is 0.0 μB/f.u. The total energy comes out at -42.1 eV per formula unit.

The space group is Immm (No. 71) and the conventional cell measures 3.879, 8.141 and 11.372 Å, with angles of 90.00, 90.00 and 90.00 degrees. Symmetry generates all atoms from Ca at (0.000, 0.000, 0.141), Ac at (0.000, 0.500, 0.000), Ni at (0.000, 0.243, 0.304) and Ni at (0.000, 0.292, 0.500).


The following is a PBE calculation of crystalline Ca2Ac3Ni2 at its relaxed geometry, from Alexandria via LeMat-Bulk.

Its energy of formation is -138 meV per atom. Its spin magnetization is 0.0 μB/f.u. The total energy comes out at -28.9 eV per formula unit.

The space group is C2/m (No. 12) and the conventional cell measures 13.863, 4.219 and 10.089 Å, with angles of 90.00, 120.68 and 90.00 degrees. Symmetry generates all atoms from Ca at (0.107, 0.000, 0.400), Ac at (0.000, 0.500, 0.000), Ac at (0.190, 0.500, 0.802) and Ni at (0.094, 0.000, 0.896).


The following is a PBE calculation of crystalline CaAcNi3 at its relaxed geometry, from Alexandria via LeMat-Bulk.

Its energy of formation is -224 meV per atom. Its spin magnetization is 0.0 μB/f.u. The total energy comes out at -24.6 eV per formula unit.

The space group is Cmcm (No. 63) and the conventional cell measures 4.204, 24.424 and 4.141 Å, with angles of 90.00, 90.00 and 90.00 degrees. Symmetry generates all atoms from Ca at (0.000, 0.206, 0.250), Ac at (0.000, 0.074, 0.750), Ni at (0.000, 0.332, 0.250), Ni at (0.000, 0.378, 0.750) and Ni at (0.000, 0.476, 0.750).


The following is a PBE calculation of crystalline CaAc12Ni7 at its relaxed geometry, from Alexandria via LeMat-Bulk.

Its energy of formation is -130 meV per atom. Its spin magnetization is 0.0 μB/f.u. The total energy comes out at -94.4 eV per formula unit.

The space group is R-3 (No. 148, hexagonal axes) and the conventional cell measures 15.2002, 15.2002 and 10.3623 Å, with angles of 90.00, 90.00 and 120.00 degrees. Symmetry generates all atoms from Ca at (0.0000, 0.0000, 0.0000), Ac at (0.0280, 0.5880, 0.6611), Ac at (0.0482, 0.1724, 0.3285), Ni at (0.0000, 0.0000, 0.5000) and Ni at (0.0497, 0.1836, 0.8310).


The following is a PBE calculation of crystalline CaAcNi at its relaxed geometry, from Alexandria via LeMat-Bulk.

Its energy of formation is -60 meV per atom. Its spin magnetization is 0.0 μB/f.u. The total energy comes out at -12.1 eV per formula unit.

The space group is P2_1/m (No. 11) and the conventional cell measures 5.100, 5.180 and 7.209 Å, with angles of 90.00, 110.73 and 90.00 degrees. Symmetry generates all atoms from Ca at (0.119, 0.250, 0.238), Ac at (0.373, 0.250, 0.748) and Ni at (0.256, 0.750, 0.507).


The following is a PBE calculation of crystalline CaAc3Ni2 at its relaxed geometry, from Alexandria via LeMat-Bulk.

Its energy of formation is -164 meV per atom. Its spin magnetization is 0.0 μB/f.u. The total energy comes out at -26.9 eV per formula unit.

The space group is C2/m (No. 12) and the conventional cell measures 17.762, 4.085 and 12.824 Å, with angles of 90.00, 124.33 and 90.00 degrees. Symmetry generates all atoms from Ca at (0.162, 0.000, 0.260), Ac at (0.087, 0.500, 0.439), Ac at (0.088, 0.500, 0.950), Ac at (0.159, 0.000, 0.752), Ni at (0.231, 0.000, 0.538) and Ni at (0.234, 0.000, 0.044).


The following is a PBE calculation of crystalline CaAc2Ni at its relaxed geometry, from Alexandria via LeMat-Bulk.

Its energy of formation is -92 meV per atom. Its spin magnetization is 0.0 μB/f.u. The total energy comes out at -16.4 eV per formula unit.

The space group is R3m (No. 160, hexagonal axes) and the conventional cell measures 4.1941, 4.1941 and 30.2352 Å, with angles of 90.00, 90.00 and 120.00 degrees. Symmetry generates all atoms from Ca at (0.0000, 0.0000, 0.0000), Ac at (0.0000, 0.0000, 0.2221), Ac at (0.0000, 0.0000, 0.4461) and Ni at (0.0000, 0.0000, 0.8343).


The following is a PBE calculation of crystalline CaAcNi at its relaxed geometry, from Alexandria via LeMat-Bulk.

Its energy of formation is 5 meV per atom. Its spin magnetization is 0.0 μB/f.u. The total energy comes out at -11.9 eV per formula unit.

The space group is C2/m (No. 12) and the conventional cell measures 11.705, 4.011 and 8.358 Å, with angles of 90.00, 99.00 and 90.00 degrees. Symmetry generates all atoms from Ca at (0.000, 0.000, 0.000), Ca at (0.000, 0.500, 0.500), Ac at (0.249, 0.000, 0.784) and Ni at (0.202, 0.000, 0.435).


The following is a PBE calculation of crystalline CaAc4Ni2 at its relaxed geometry, from Alexandria via LeMat-Bulk.

Its energy of formation is -79 meV per atom. Its spin magnetization is 0.0 μB/f.u. The total energy comes out at -30.6 eV per formula unit.

The space group is P2_1/m (No. 11) and the conventional cell measures 7.616, 7.360 and 9.250 Å, with angles of 90.00, 113.06 and 90.00 degrees. Symmetry generates all atoms from Ca at (0.014, 0.250, 0.283), Ac at (0.237, 0.250, 0.707), Ac at (0.289, 0.501, 0.079), Ac at (0.325, 0.750, 0.502), Ni at (0.023, 0.750, 0.145) and Ni at (0.393, 0.750, 0.864).


The following is a PBE calculation of crystalline Ca2AcNi2 at its relaxed geometry, from Alexandria via LeMat-Bulk.

Its energy of formation is -140 meV per atom. Its spin magnetization is 0.0 μB/f.u. The total energy comes out at -20.4 eV per formula unit.

The space group is C2/c (No. 15) and the conventional cell measures 13.473, 6.052 and 7.563 Å, with angles of 90.00, 118.74 and 90.00 degrees. Symmetry generates all atoms from Ca at (0.203, 0.084, 0.291), Ac at (0.000, 0.368, 0.750) and Ni at (0.039, 0.144, 0.433).